{
  "formula": "CeMnFe2O6",
  "functional": "GGA+U",
  "state": "relaxed",
  "energy_ev_per_atom": -7.41,
  "rho_g_cm3": 5.49,
  "space_group": "P1, No. 1",
  "lattice_angstrom": [[5.3739, 0.1394, 0.0511], [2.8058, 4.8588, 0.1584], [2.7706, 1.7999, 4.8096]],
  "species": ["O", "O", "O", "O", "O", "O", "Fe", "Fe", "Ce", "Mn"],
  "fractional_positions": [[0.7343, 0.1382, 0.7466], [0.9019, 0.6480, 0.2229], [0.2020, 0.8811, 0.2689], [0.4166, 0.7512, 0.7559], [0.6395, 0.1928, 0.2711], [0.0876, 0.4118, 0.7537], [0.5307, 0.5058, 0.4368], [0.0289, 0.0206, 0.9294], [0.3029, 0.3049, 0.0807], [0.8172, 0.8071, 0.5492]]
}